Compound: CdNiPt2
Source: the Alexandria database
Functional: PBE
Structure: optimized geometry

Lattice parameters (Å, degrees): 2.866 3.694 5.896 90.00 90.00 90.00
Site moments in Bohr magnetons follow the coordinates.
Element x y z (fractional)
Ni1 0.500 0.500 0.750  0.74
Pt1 0.000 0.000 0.977  0.12
Pt2 0.000 0.000 0.523  0.12
Cd1 0.500 0.500 0.250  -0.01

Values from the calculation:
Final energy in eV per atom: -4.831
Space-group type: No. 47
Crystal system: orthorhombic

=====

Compound: CdNi2Pt
Source: the Alexandria database
Functional: PBE
Structure: optimized geometry

Lattice parameters (Å, degrees): 5.195 5.195 5.195 148.02 129.37 61.15
Site moments in Bohr magnetons follow the coordinates.
Element x y z (fractional)
Cd1 0.240 0.740 0.500  -0.01
Ni1 0.983 0.983 0.000  0.28
Ni2 0.763 0.263 0.500  0.25
Pt1 0.515 0.515 0.000  0.08

Values from the calculation:
Final energy in eV per atom: -4.634
Space-group type: No. 44
Crystal system: orthorhombic